[1]
The following is a DFT calculation (GGA-PBEsol) of CaSi2RuPt after structural relaxation.

Summary:
**Symmetry**: P4/mmm, No. 123
**Energy**: -4.066 eV/atom

abc: 4.7197 4.8784 4.8784
angles: 90.00 90.00 90.00
With the nearest neighbours (Å) after each atom.
Positions (direct):
Ru 0.5000 0.5000 0.5000  8 Si 3.39, 4 Pt 3.45
Ca 0.0000 0.0000 0.0000  2 Pt 2.36, 4 Si 2.44
Si 0.0000 0.0000 0.5000  2 Ca 2.44
Si 0.0000 0.5000 0.0000  2 Ca 2.44
Pt 0.5000 0.0000 0.0000  2 Ca 2.36

---

[2]
The following is a DFT calculation (GGA-PBEsol) of Ca2HgCl after structural relaxation.

Summary:
**Symmetry**: F-43m, No. 216
**Energy**: -2.067 eV/atom
**Relative energy among the computed polymorphs**: 0.611 eV per atom

abc: 5.4390 5.4390 5.4390
angles: 60.00 60.00 60.00
With the nearest neighbours (Å) after each atom.
Positions (direct):
Ca 0.0000 0.0000 0.0000  4 Ca 3.33, 4 Hg 3.33
Ca 0.7500 0.7500 0.7500  4 Cl 3.33, 4 Ca 3.33
Hg 0.2500 0.2500 0.2500  4 Ca 3.33, 4 Cl 3.33
Cl 0.5000 0.5000 0.5000  4 Hg 3.33, 4 Ca 3.33

---

| no. | raw formation energy (eV/atom) |
| --- | --- |
| 1 | 2.086 |
| 2 | -0.356 |